Record 1
A plane-wave DFT calculation with PBE was carried out for a relaxed Zn2SbOs crystal.

Summary:
E_tot   -4.16 eV/atom
Formation energy without anion corrections   0.310 eV/atom
Volume   67.8 Å³/f.u.

Unit cell a=4.8120 b=4.8120 c=4.7797 alpha=82.24 beta=82.24 gamma=38.24
Closest atoms and distances in Å follow each position.
Element x y z (fractional)
Sb: 0.7670 0.7670 0.7129  3 Os 2.72-2.75, 5 Zn 2.76-2.96
Zn: 0.2391 0.2391 0.2424  3 Zn 2.55-2.85, 2 Sb 2.79, 3 Os 2.83
Zn: 0.9938 0.9938 0.0412  3 Zn 2.55-2.85, 2 Os 2.72, 1 Sb 2.76
Os: 0.5001 0.5001 0.5035  3 Sb 2.72-2.75, 7 Zn 2.72-3.01



Record 2
A plane-wave DFT calculation with PBE was carried out for a relaxed K2PaSnO6 crystal.

Summary:
E_tot   -6.81 eV/atom
Formation energy without anion corrections   -2.264 eV/atom
Volume   154.9 Å³/f.u.

Unit cell a=6.0280 b=6.0280 c=6.0287 alpha=60.00 beta=60.00 gamma=90.00
Closest atoms and distances in Å follow each position.
Element x y z (fractional)
Pa: 0.0000 0.0000 0.0000  6 O 2.17
O: 0.7457 0.7458 0.0000  1 Sn 2.10, 1 Pa 2.17
O: 0.2543 0.2542 0.4914  1 Sn 2.09, 1 Pa 2.17
O: 0.2543 0.2542 0.0000  1 Sn 2.10, 1 Pa 2.17
O: 0.7457 0.7458 0.5086  1 Sn 2.09, 1 Pa 2.17
O: 0.7457 0.2543 0.0000  1 Sn 2.09, 1 Pa 2.17
O: 0.2543 0.7457 0.0000  1 Sn 2.09, 1 Pa 2.17
K: 0.7501 0.2499 0.5000  12 O 3.01-3.02
K: 0.2499 0.7501 0.5000  12 O 3.01-3.02
Sn: 0.5000 0.5000 0.0000  6 O 2.09-2.10



Record 3
A plane-wave DFT calculation with PBE was carried out for a relaxed Ba3Pm5F12 crystal.

Summary:
E_tot   -5.66 eV/atom
Formation energy without anion corrections   -3.058 eV/atom
Volume   419.1 Å³/f.u.

Unit cell a=12.9623 b=12.9623 c=12.9623 alpha=109.47 beta=109.47 gamma=109.47
Closest atoms and distances in Å follow each position.
Element x y z (fractional)
Pm: 0.7500 0.1250 0.8750  4 F 2.46
Pm: 0.2500 0.8750 0.1250  4 F 2.46
Pm: 0.5000 0.0000 0.5000  6 F 2.45
Pm: 0.1250 0.7500 0.3750  4 F 2.46
Pm: 0.6250 0.7500 0.8750  4 F 2.46
Pm: 0.5000 0.5000 0.0000  6 F 2.45
Pm: 0.3750 0.1250 0.7500  4 F 2.46
Pm: 0.8750 0.2500 0.6250  4 F 2.46
Pm: 0.6250 0.8750 0.2500  4 F 2.46
Pm: 0.0000 0.5000 0.5000  6 F 2.45
Pm: 0.7500 0.6250 0.3750  4 F 2.46
Pm: 0.1250 0.3750 0.2500  4 F 2.46
Pm: 0.3750 0.2500 0.1250  4 F 2.46
Pm: 0.0000 0.0000 0.0000  6 F 2.45
Pm: 0.0000 0.5000 0.0000  6 F 2.45
Pm: 0.8750 0.6250 0.7500  4 F 2.46
Pm: 0.0000 0.0000 0.5000  6 F 2.45
Pm: 0.5000 0.5000 0.5000  6 F 2.45
Pm: 0.2500 0.3750 0.6250  4 F 2.46
Pm: 0.5000 0.0000 0.0000  6 F 2.45
F: 0.0646 0.9052 0.3530  2 Pm 2.45-2.46, 1 Ba 2.59
F: 0.3407 0.5522 0.4052  2 Pm 2.45-2.46, 1 Ba 2.59
F: 0.3530 0.4052 0.0646  2 Pm 2.45-2.46, 1 Ba 2.59
F: 0.1593 0.0646 0.7115  2 Pm 2.45-2.46, 1 Ba 2.59
F: 0.9052 0.0646 0.8530  2 Pm 2.45-2.46, 1 Ba 2.59
F: 0.8530 0.2885 0.4478  2 Pm 2.45-2.46, 1 Ba 2.59
F: 0.9052 0.8407 0.5522  2 Pm 2.45-2.46, 1 Ba 2.59
F: 0.0948 0.1593 0.4478  2 Pm 2.45-2.46, 1 Ba 2.59
F: 0.9354 0.0948 0.6470  2 Pm 2.45-2.46, 1 Ba 2.59
F: 0.9478 0.3530 0.2885  2 Pm 2.45-2.46, 1 Ba 2.59
F: 0.5646 0.7115 0.6593  2 Pm 2.45-2.46, 1 Ba 2.59
F: 0.7115 0.5646 0.1593  2 Pm 2.45-2.46, 1 Ba 2.59
F: 0.2885 0.8530 0.9478  2 Pm 2.45-2.46, 1 Ba 2.59
F: 0.6470 0.0522 0.2115  2 Pm 2.45-2.46, 1 Ba 2.59
F: 0.6593 0.4478 0.5948  2 Pm 2.45-2.46, 1 Ba 2.59
F: 0.5948 0.6470 0.4354  2 Pm 2.45-2.46, 1 Ba 2.59
F: 0.5646 0.8530 0.4052  2 Pm 2.45-2.46, 1 Ba 2.59
F: 0.1593 0.0948 0.9478  2 Pm 2.45-2.46, 1 Ba 2.59
F: 0.0646 0.1593 0.2115  2 Pm 2.45-2.46, 1 Ba 2.59
F: 0.2115 0.6593 0.0646  2 Pm 2.45-2.46, 1 Ba 2.59
F: 0.0522 0.6470 0.7115  2 Pm 2.45-2.46, 1 Ba 2.59
F: 0.7885 0.4478 0.3530  2 Pm 2.45-2.46, 1 Ba 2.59
F: 0.8407 0.9354 0.2885  2 Pm 2.45-2.46, 1 Ba 2.59
F: 0.3407 0.7885 0.4354  2 Pm 2.45-2.46, 1 Ba 2.59
F: 0.0522 0.4052 0.8407  2 Pm 2.45-2.46, 1 Ba 2.59
F: 0.1470 0.4354 0.0948  2 Pm 2.45-2.46, 1 Ba 2.59
F: 0.5522 0.3407 0.9052  2 Pm 2.45-2.46, 1 Ba 2.59
F: 0.8407 0.9052 0.0522  2 Pm 2.45-2.46, 1 Ba 2.59
F: 0.8530 0.5646 0.9052  2 Pm 2.45-2.46, 1 Ba 2.59
F: 0.2115 0.5522 0.6470  2 Pm 2.45-2.46, 1 Ba 2.59
F: 0.9354 0.8407 0.7885  2 Pm 2.45-2.46, 1 Ba 2.59
F: 0.4478 0.7885 0.8530  2 Pm 2.45-2.46, 1 Ba 2.59
F: 0.2885 0.4354 0.8407  2 Pm 2.45-2.46, 1 Ba 2.59
F: 0.4354 0.2885 0.3407  2 Pm 2.45-2.46, 1 Ba 2.59
F: 0.4354 0.1470 0.5948  2 Pm 2.45-2.46, 1 Ba 2.59
F: 0.9478 0.5948 0.1593  2 Pm 2.45-2.46, 1 Ba 2.59
F: 0.4478 0.6593 0.0948  2 Pm 2.45-2.46, 1 Ba 2.59
F: 0.5948 0.9478 0.6593  2 Pm 2.45-2.46, 1 Ba 2.59
F: 0.6593 0.2115 0.5646  2 Pm 2.45-2.46, 1 Ba 2.59
F: 0.0948 0.9354 0.1470  2 Pm 2.45-2.46, 1 Ba 2.59
F: 0.4052 0.0522 0.3407  2 Pm 2.45-2.46, 1 Ba 2.59
F: 0.3530 0.9478 0.7885  2 Pm 2.45-2.46, 1 Ba 2.59
F: 0.7885 0.3407 0.9354  2 Pm 2.45-2.46, 1 Ba 2.59
F: 0.4052 0.3530 0.5646  2 Pm 2.45-2.46, 1 Ba 2.59
F: 0.6470 0.5948 0.9354  2 Pm 2.45-2.46, 1 Ba 2.59
F: 0.7115 0.1470 0.0522  2 Pm 2.45-2.46, 1 Ba 2.59
F: 0.5522 0.2115 0.1470  2 Pm 2.45-2.46, 1 Ba 2.59
F: 0.1470 0.7115 0.5522  2 Pm 2.45-2.46, 1 Ba 2.59
Ba: 0.6250 0.3750 0.7500  8 F 2.59-2.90
Ba: 0.2500 0.1250 0.3750  8 F 2.59-2.90
Ba: 0.3750 0.7500 0.6250  8 F 2.59-2.90
Ba: 0.7500 0.8750 0.6250  8 F 2.59-2.90
Ba: 0.2500 0.6250 0.8750  8 F 2.59-2.90
Ba: 0.8750 0.1250 0.2500  8 F 2.59-2.90
Ba: 0.6250 0.2500 0.3750  8 F 2.59-2.90
Ba: 0.3750 0.6250 0.2500  8 F 2.59-2.90
Ba: 0.7500 0.3750 0.1250  8 F 2.59-2.90
Ba: 0.1250 0.8750 0.7500  8 F 2.59-2.90
Ba: 0.1250 0.2500 0.8750  8 F 2.59-2.90
Ba: 0.8750 0.7500 0.1250  8 F 2.59-2.90